No. 1
The following is a PBE-GGA calculation of an optimized crystal structure of SrLaBe, from the Alexandria database.

It has space group P3m1 (No. 156), with a = 3.9489 Å, b = 3.9489 Å, c = 7.6747 Å, α = 90.00°, β = 90.00° and γ = 120.00°. The asymmetric unit holds Sr at (0.0000, 0.0000, 0.0000), La at (0.6667, 0.3333, 0.5205) and Be at (0.3333, 0.6667, 0.2785).

The value obtained for the energy above the most stable polymorph in this dataset is 191 meV per atom. The formation energy comes out at 0.454 eV per atom.

***

No. 2
The following is a PBE-GGA calculation of an optimized crystal structure of SrLaBe2, from the Alexandria database.

It has space group I-42d (No. 122), with a = 7.9286 Å, b = 7.9286 Å, c = 7.4627 Å, α = 90.00°, β = 90.00° and γ = 90.00°. The asymmetric unit holds Sr at (0.0000, 0.0000, 0.0000), La at (0.0000, 0.0000, 0.5000) and Be at (0.2304, 0.2500, 0.6250).

The value obtained for the energy above the most stable polymorph in this dataset is 541 meV per atom. The formation energy comes out at 0.831 eV per atom.

***

no.,density of states at the Fermi level (states/eV/atom)
1,1.613
2,2.119